Record 1
## ErSiPd6 (GGA-PBE)

Data for a relaxed structure of ErSiPd6.

```
data_ErSiPd6
_space_group_name_H-M_alt 'R -3 m'
_space_group_IT_number 166
_space_group_name_Hall '-R 3 2"'
_cell_length_a 5.5736
_cell_length_b 5.5736
_cell_length_c 17.3014
_cell_angle_alpha 90.00
_cell_angle_beta 90.00
_cell_angle_gamma 120.00
loop_
_atom_site_label
_atom_site_fract_x
_atom_site_fract_y
_atom_site_fract_z
_atom_site_occupancy
Er1 0.0000 0.0000 0.0000 1
Si1 0.0000 0.0000 0.5000 1
Pd1 0.0132 0.5066 0.9230 1
```

Properties
**Fermi-level density of states**: 11.7 states/eV per cell
**Formation energy (no corrections)**: -0.40 eV/atom


Record 2
## ReB2Mo2 (GGA-PBE)

Data for a relaxed structure of ReB2Mo2.

```
data_ReB2Mo2
_space_group_name_H-M_alt 'I 4/m m m'
_space_group_IT_number 139
_space_group_name_Hall '-I 4 2'
_cell_length_a 3.5838
_cell_length_b 3.5838
_cell_length_c 9.4713
_cell_angle_alpha 90.00
_cell_angle_beta 90.00
_cell_angle_gamma 90.00
loop_
_atom_site_label
_atom_site_fract_x
_atom_site_fract_y
_atom_site_fract_z
_atom_site_occupancy
Re1 0.0000 0.0000 0.0000 1
B1 0.0000 0.0000 0.4140 1
Mo1 0.0000 0.5000 0.2500 1
```

Properties
**Fermi-level density of states**: 8.2 states/eV per cell
**DFT formation energy**: 408 meV per atom
**Energy relative to the lowest polymorph listed for this composition**: 0.736 eV per atom


Record 3
## CaPdOF2 (GGA-PBE)

Data for a relaxed structure of CaPdOF2.

```
data_CaPdOF2
_space_group_name_H-M_alt 'P 4/m m m'
_space_group_IT_number 123
_space_group_name_Hall '-P 4 2'
_cell_length_a 4.2228
_cell_length_b 4.2228
_cell_length_c 4.1518
_cell_angle_alpha 90.00
_cell_angle_beta 90.00
_cell_angle_gamma 90.00
loop_
_atom_site_label
_atom_site_fract_x
_atom_site_fract_y
_atom_site_fract_z
_atom_site_occupancy
Ca1 0.0000 0.0000 0.0000 1
Pd1 0.5000 0.5000 0.5000 1
O1 0.5000 0.5000 0.0000 1
F1 0.0000 0.5000 0.5000 1
```

Properties
**Fermi-level density of states**: 1.2 states/eV per cell
**Formation energy (no corrections)**: -1.71 eV/atom
**Energy relative to the lowest polymorph listed for this composition**: 0.000 eV per atom


Record 4
## Dy3Cd5 (GGA-PBE)

Data for a relaxed structure of Dy3Cd5.

```
data_Dy3Cd5
_space_group_name_H-M_alt 'P -6 2 m'
_space_group_IT_number 189
_space_group_name_Hall 'P -6 -2'
_cell_length_a 7.8274
_cell_length_b 7.8274
_cell_length_c 3.8931
_cell_angle_alpha 90.00
_cell_angle_beta 90.00
_cell_angle_gamma 120.00
loop_
_atom_site_label
_atom_site_fract_x
_atom_site_fract_y
_atom_site_fract_z
_atom_site_occupancy
Dy1 0.0000 0.6084 0.0000 1
Cd1 0.0000 0.2328 0.5000 1
Cd2 0.3333 0.6667 0.5000 1
```

Properties
**Fermi-level density of states**: 7.2 states/eV per cell
**DFT formation energy**: -238 meV per atom
**Energy relative to the lowest polymorph listed for this composition**: 0.048 eV per atom


Record 5
## Ta2TlRh (GGA-PBE)

Data for a relaxed structure of Ta2TlRh.

```
data_Ta2TlRh
_space_group_name_H-M_alt 'I m m m'
_space_group_IT_number 71
_space_group_name_Hall '-I 2 2'
_cell_length_a 3.4687
_cell_length_b 4.4663
_cell_length_c 9.2830
_cell_angle_alpha 90.00
_cell_angle_beta 90.00
_cell_angle_gamma 90.00
loop_
_atom_site_label
_atom_site_fract_x
_atom_site_fract_y
_atom_site_fract_z
_atom_site_occupancy
Ta1 0.0000 0.0000 0.2377 1
Tl1 0.0000 0.5000 0.0000 1
Rh1 0.0000 0.5000 0.5000 1
```

Properties
**Fermi-level density of states**: 7.1 states/eV per cell
**DFT formation energy**: 121 meV per atom
**Energy relative to the lowest polymorph listed for this composition**: 0.051 eV per atom


Record 6
## La2NdDyY6 (GGA-PBE)

Data for a relaxed structure of La2NdDyY6.

```
data_La2NdDyY6
_space_group_name_H-M_alt 'C 1 2/c 1'
_space_group_IT_number 15
_cell_length_a 9.1395
_cell_length_b 15.0213
_cell_length_c 9.9974
_cell_angle_alpha 90.00
_cell_angle_beta 100.98
_cell_angle_gamma 90.00
loop_
_space_group_symop_operation_xyz
'x,y,z'
'-x,-y,-z'
'-x,y,-z+1/2'
'x,-y,z+1/2'
'x+1/2,y+1/2,z'
'-x+1/2,-y+1/2,-z'
'-x+1/2,y+1/2,-z+1/2'
'x+1/2,-y+1/2,z+1/2'
loop_
_atom_site_label
_atom_site_fract_x
_atom_site_fract_y
_atom_site_fract_z
_atom_site_occupancy
La1 0.2385 0.0463 0.0446 1
Nd1 0.0000 0.0132 0.7500 1
Dy1 0.0000 0.4040 0.2500 1
Y1 0.0747 0.1916 0.4430 1
Y2 0.0927 0.3953 0.6168 1
Y3 0.2017 0.2212 0.8125 1
```

Properties
**Fermi-level density of states**: 61.3 states/eV per cell
**DFT formation energy**: 113 meV per atom


Record 7
## CsBi2C2 (GGA-PBE)

Data for a relaxed structure of CsBi2C2.

```
data_CsBi2C2
_space_group_name_H-M_alt 'P 4/m b m'
_space_group_IT_number 127
_space_group_name_Hall '-P 4 2ab'
_cell_length_a 9.9501
_cell_length_b 9.9501
_cell_length_c 3.4910
_cell_angle_alpha 90.00
_cell_angle_beta 90.00
_cell_angle_gamma 90.00
loop_
_atom_site_label
_atom_site_fract_x
_atom_site_fract_y
_atom_site_fract_z
_atom_site_occupancy
Cs1 0.0000 0.0000 0.0000 1
Bi1 0.1354 0.3646 0.0000 1
C1 0.0479 0.5479 0.5000 1
```

Properties
**Fermi-level density of states**: 8.1 states/eV per cell
**DFT formation energy**: 1186 meV per atom
**Energy relative to the lowest polymorph listed for this composition**: 0.088 eV per atom


Record 8
## Ac3La2Sn3 (GGA-PBE)

Data for a relaxed structure of Ac3La2Sn3.

```
data_Ac3La2Sn3
_space_group_name_H-M_alt 'I m m m'
_space_group_IT_number 71
_space_group_name_Hall '-I 2 2'
_cell_length_a 4.5264
_cell_length_b 5.2726
_cell_length_c 23.4186
_cell_angle_alpha 90.00
_cell_angle_beta 90.00
_cell_angle_gamma 90.00
loop_
_atom_site_label
_atom_site_fract_x
_atom_site_fract_y
_atom_site_fract_z
_atom_site_occupancy
Ac1 0.0000 0.0000 0.0000 1
Ac2 0.0000 0.5000 0.1173 1
La1 0.0000 0.0000 0.2514 1
Sn1 0.0000 0.0000 0.5000 1
Sn2 0.0000 0.5000 0.3549 1
```

Properties
**Fermi-level density of states**: 19.4 states/eV per cell
**DFT formation energy**: -521 meV per atom
**Energy relative to the lowest polymorph listed for this composition**: 0.142 eV per atom


The following M_tot values (in μB/atom) correspond, in order, to the records above: 0.000 0.044 0.000 0.000 0.000 0.000 0.000 0.000.